4
Lattice="-6.606 3.970 0.839 -6.369 2.504 -3.644 5.379 -5.280 1.815" Properties=species:S:1:pos:R:3 comment="Sc2ReCl PBE-GGA relaxed" e_tot_ev_per_fu=-28.62 dos_ef_per_ev_fu=2.4 spacegroup=Imm2 pbc="T T T"
Cl -5.809 2.899 -1.256
Re -3.053 -0.112 -1.467
Sc -0.884 0.441 -0.191
Sc -4.338 1.203 0.522